# 1
Compound: PmMgSi2Au2
Source: Alexandria via LeMat-Bulk
Functional: PBE-GGA
Structure: relaxed

The calculation puts the total energy at -27.3 eV/f.u.

a b c (Å): 4.3368 4.3368 7.1305
angles (deg): 90.00 90.00 120.00
Closest atoms and distances in Å follow each position.
Space group P-3m1 (No. 164)
Symmetry-distinct sites (fractional):
Pm (0.0000, 0.0000, 0.0000) (multiplicity 1)  6 Si 3.11, 6 Au 3.30
Mg (0.0000, 0.0000, 0.5000) (multiplicity 1)  6 Au 2.88, 6 Si 3.04
Si (0.3333, 0.6667, 0.7421) (multiplicity 2)  3 Au 2.52
Au (0.3333, 0.6667, 0.3017) (multiplicity 2)  3 Si 2.52

***

# 2
Compound: Pm2MgSi3Au4
Source: Alexandria via LeMat-Bulk
Functional: PBE-GGA
Structure: relaxed

The calculation puts the total energy at -46.8 eV/f.u.

a b c (Å): 4.2861 4.2861 10.8328
angles (deg): 90.00 90.00 90.00
Closest atoms and distances in Å follow each position.
Space group P-4m2 (No. 115)
Symmetry-distinct sites (fractional):
Pm (0.0000, 0.5000, 0.2335) (multiplicity 2)  6 Si 3.21-3.60, 8 Au 3.32, 2 Mg 3.60
Mg (0.0000, 0.0000, 0.5000) (multiplicity 1)  4 Au 2.63
Si (0.0000, 0.5000, 0.8647) (multiplicity 2)  5 Au 2.43-2.60
Si (0.5000, 0.5000, 0.5000) (multiplicity 1)  4 Au 2.63
Au (0.0000, 0.0000, 0.0000) (multiplicity 1)  4 Si 2.60
Au (0.0000, 0.5000, 0.6405) (multiplicity 2)  3 Si 2.43-2.63, 2 Mg 2.63
Au (0.5000, 0.5000, 0.0000) (multiplicity 1)  4 Si 2.60